[1]
Density functional theory data (PBE) for a geometry-optimized NdZnHg2 structure.

Density of states at the Fermi level, states/eV per atom: 0.64
ΔE_f, eV/atom: -0.320
E_tot, eV per cell: -31.696

Cell lengths 8.9850, 8.9850, 9.5732 Å; angles 90.00, 90.00, 150.21 degrees
Fractional coordinates of all 16 atoms:
Nd1 0.0000 0.0000 0.0000
Nd2 0.0000 0.0000 0.5000
Nd3 0.2009 0.7991 0.7500
Nd4 0.7991 0.2009 0.2500
Zn1 0.3554 0.6446 0.0247
Zn2 0.3554 0.6446 0.4753
Zn3 0.6446 0.3554 0.5247
Zn4 0.6446 0.3554 0.9753
Hg1 0.1918 0.8082 0.0930
Hg2 0.1918 0.8082 0.4070
Hg3 0.3998 0.6002 0.7500
Hg4 0.4403 0.5597 0.2500
Hg5 0.5597 0.4403 0.7500
Hg6 0.6002 0.3998 0.2500
Hg7 0.8082 0.1918 0.5930
Hg8 0.8082 0.1918 0.9070


[2]
Density functional theory data (PBE) for a geometry-optimized U2GaTc5 structure.

Density of states at the Fermi level, states/eV per atom: 1.13
ΔE_f, eV/atom: -0.181
E_tot, eV per cell: -157.760

Cell lengths 5.5257, 11.0723, 4.3026 Å; angles 90.00, 90.00, 90.00 degrees
Fractional coordinates of all 16 atoms:
U1 0.1785 0.1373 0.0000
U2 0.3215 0.6373 0.0000
U3 0.6785 0.3627 0.0000
U4 0.8215 0.8627 0.0000
Ga1 0.0000 0.5000 0.5000
Ga2 0.5000 0.0000 0.5000
Tc1 0.0000 0.0000 0.5000
Tc2 0.0858 0.7442 0.5000
Tc3 0.1931 0.3839 0.0000
Tc4 0.3069 0.8839 0.0000
Tc5 0.4142 0.2442 0.5000
Tc6 0.5000 0.5000 0.5000
Tc7 0.5858 0.7558 0.5000
Tc8 0.6931 0.1161 0.0000
Tc9 0.8069 0.6161 0.0000
Tc10 0.9142 0.2558 0.5000


[3]
Density functional theory data (PBE) for a geometry-optimized KRePt structure.

Energy relative to the lowest polymorph listed for this composition, meV per atom: 284
Density of states at the Fermi level, states/eV per atom: 1.01
ΔE_f, eV/atom: 0.512
E_tot, eV per cell: -36.099

Cell lengths 3.7438, 3.7438, 11.6806 Å; angles 90.00, 90.00, 90.00 degrees
Fractional coordinates of all 6 atoms:
K1 0.2500 0.2500 0.1708
K2 0.7500 0.7500 0.8292
Re1 0.2500 0.7500 0.5000
Re2 0.7500 0.2500 0.5000
Pt1 0.2500 0.2500 0.6608
Pt2 0.7500 0.7500 0.3392


[4]
Density functional theory data (PBE) for a geometry-optimized Sm4TlRh structure.

Energy relative to the lowest polymorph listed for this composition, meV per atom: 72
Density of states at the Fermi level, states/eV per atom: 1.10
ΔE_f, eV/atom: -0.389
E_tot, eV per cell: -61.858

Cell lengths 8.3198, 8.3198, 6.1345 Å; angles 103.14, 103.14, 114.48 degrees
Fractional coordinates of all 12 atoms:
Sm1 0.0662 0.7044 0.9245
Sm2 0.2052 0.3456 0.6626
Sm3 0.2956 0.9338 0.5755
Sm4 0.3456 0.2052 0.1626
Sm5 0.6544 0.7948 0.8374
Sm6 0.7044 0.0662 0.4245
Sm7 0.7948 0.6544 0.3374
Sm8 0.9338 0.2956 0.0755
Tl1 0.3766 0.6234 0.2500
Tl2 0.6234 0.3766 0.7500
Rh1 0.0007 0.9993 0.7500
Rh2 0.9993 0.0007 0.2500


[5]
Density functional theory data (PBE) for a geometry-optimized LiH2I structure.

Energy relative to the lowest polymorph listed for this composition, meV per atom: 21
Density of states at the Fermi level, states/eV per atom: 0.00
E_tot, eV per cell: -50.044

Cell lengths 6.1744, 4.7651, 11.6940 Å; angles 90.00, 104.94, 90.00 degrees
Fractional coordinates of all 16 atoms:
Li1 0.0758 0.2479 0.1338
Li2 0.0758 0.2521 0.6338
Li3 0.9242 0.7479 0.3662
Li4 0.9242 0.7521 0.8662
H1 0.4273 0.2382 0.2163
H2 0.4273 0.2618 0.7163
H3 0.4353 0.2377 0.1525
H4 0.4353 0.2623 0.6525
H5 0.5647 0.7377 0.3475
H6 0.5647 0.7623 0.8475
H7 0.5727 0.7382 0.2837
H8 0.5727 0.7618 0.7837
I1 0.1608 0.2482 0.3971
I2 0.1608 0.2518 0.8971
I3 0.8392 0.7482 0.1029
I4 0.8392 0.7518 0.6029


[6]
Density functional theory data (PBE) for a geometry-optimized MnNi5Sn structure.

Density of states at the Fermi level, states/eV per atom: 1.30
ΔE_f, eV/atom: -0.050
E_tot, eV per cell: -42.431

Cell lengths 3.5393, 3.5393, 7.4236 Å; angles 90.00, 90.00, 90.00 degrees
Fractional coordinates of all 7 atoms:
Mn1 0.0000 0.0000 0.0000
Ni1 0.0000 0.5000 0.2395
Ni2 0.0000 0.5000 0.7605
Ni3 0.5000 0.0000 0.2395
Ni4 0.5000 0.0000 0.7605
Ni5 0.5000 0.5000 0.0000
Sn1 0.5000 0.5000 0.5000


[7]
Density functional theory data (PBE) for a geometry-optimized K3HfCr2S6 structure.

Density of states at the Fermi level, states/eV per atom: 0.50
Energy relative to the elements, uncorrected, eV per atom: -1.11
E_tot, eV per cell: -70.549

Cell lengths 6.4784, 6.4784, 7.5491 Å; angles 98.23, 98.23, 120.01 degrees
Fractional coordinates of all 12 atoms:
K1 0.0000 0.0000 0.0000
K2 0.3335 0.6665 0.0000
K3 0.6665 0.3335 0.0000
Hf1 0.5000 0.5000 0.5000
Cr1 0.1667 0.8333 0.5000
Cr2 0.8333 0.1667 0.5000
S1 0.0998 0.4383 0.3151
S2 0.2231 0.2231 0.6847
S3 0.4383 0.0998 0.3151
S4 0.5617 0.9002 0.6849
S5 0.7769 0.7769 0.3153
S6 0.9002 0.5617 0.6849


[8]
Density functional theory data (PBE) for a geometry-optimized Tb2PrAg2Pb2 structure.

Density of states at the Fermi level, states/eV per atom: 0.46
ΔE_f, eV/atom: -0.322
E_tot, eV per cell: -29.411

Cell lengths 9.2973, 9.2973, 9.2973 Å; angles 30.99, 30.99, 30.99 degrees
Fractional coordinates of all 7 atoms:
Tb1 0.1349 0.1349 0.1349
Tb2 0.8651 0.8651 0.8651
Pr1 0.0000 0.0000 0.0000
Ag1 0.4426 0.4426 0.4426
Ag2 0.5574 0.5574 0.5574
Pb1 0.2649 0.2649 0.2649
Pb2 0.7351 0.7351 0.7351


> Among the records above, which one has the highest E_tot?

Tb2PrAg2Pb2


> What is the formula in the seventh record?

K3HfCr2S6


> Which value of E_tot does entry 2 give?

-157.760 eV per cell


> Which formula does entry 6 have?

MnNi5Sn